NaIrPbI2 | PBE-GGA | relaxed

total magnetization	0.00	μB/cell
energy relative to the elements, uncorrected	0.0169	eV/atom
energy	-3.38	eV/atom
D(E_F)	2.6	states/eV/cell

abc: 5.7306 5.7306 5.0946
angles: 90.00 90.00 90.00
Atoms (fractional coordinates):
Pb (0.0000, 0.0000, 0.5000)
I (0.0000, 0.5000, 0.0000)
Na (0.5000, 0.5000, 0.5000)
I (0.5000, 0.0000, 0.0000)
Ir (0.0000, 0.0000, 0.0000)